(1)
Compound: CoRu2Au
Source: the Alexandria database
Functional: PBE-GGA
Structure: relaxed

Output
- crystal system = orthorhombic
- relative energy among the computed polymorphs (meV/atom) = 237

Cell: 2.686 2.686 9.254 Å, 90.00 90.00 118.01°
Site moments in Bohr magnetons follow the coordinates.
Element x y z (fractional)
1 Au 0.500 0.500 0.250  -0.01
2 Co 0.500 0.500 0.750  1.74
3 Ru 0.000 0.000 0.524  0.66
4 Ru 0.000 0.000 0.976  0.66

=====

(2)
Compound: NdBeGaPt2
Source: the Alexandria database
Functional: PBE-GGA
Structure: relaxed

Output
- crystal system = tetragonal
- raw total energy (eV/f.u.) = -27.74

Cell: 4.069 4.069 6.239 Å, 109.03 109.03 90.00°
Element x y z (fractional)
1 Nd 0.000 0.000 0.000
2 Pt 0.377 0.377 0.754
3 Pt 0.623 0.623 0.246
4 Be 0.750 0.250 0.500
5 Ga 0.250 0.750 0.500

=====

(3)
Compound: Sm3CoCu
Source: the Alexandria database
Functional: PBE-GGA
Structure: relaxed

Output
- crystal system = monoclinic
- relative energy among the computed polymorphs (meV/atom) = 2

Cell: 6.127 6.127 7.972 Å, 70.59 70.59 62.63°
Element x y z (fractional)
1 Sm 0.307 0.307 0.336
2 Cu 0.302 0.698 0.500
3 Sm 0.310 0.310 0.855
4 Cu 0.698 0.302 0.500
5 Sm 0.993 0.993 0.230
6 Sm 0.693 0.693 0.664
7 Co 0.318 0.682 0.000
8 Sm 0.690 0.690 0.145
9 Sm 0.007 0.007 0.770
10 Co 0.682 0.318 0.000